Entry 1:
Material: RbPd3O
Method: DFT, PBE
State: optimized geometry Values from VASP.

Structure (Quantum ESPRESSO input):
```
&SYSTEM
  ibrav = 0, nat = 5, ntyp = 3
/
ATOMIC_SPECIES
O 16.00 O.upf
Rb 85.47 Rb.upf
Pd 106.42 Pd.upf
CELL_PARAMETERS angstrom
-3.291 -1.291 -3.913
4.100 -0.518 -3.276
0.418 -5.087 1.326
ATOMIC_POSITIONS angstrom
O 0.613 -3.448 -2.932
Rb 0.000 0.000 0.000
Pd 2.050 -0.259 -1.638
Pd 0.209 -2.543 0.663
Pd -1.645 -0.645 -1.957
```

Output
Its density of states at the Fermi level is 1.937 states/eV per atom. For the polymorph energy (0 for the lowest one), the calculation gives 1749 meV per atom. As for the energy relative to the elements, uncorrected: 185 kJ per mole of atoms.


Entry 2:
Material: SnGeH2Au
Method: DFT, PBE
State: optimized geometry Values from VASP.

Structure (Quantum ESPRESSO input):
```
&SYSTEM
  ibrav = 0, nat = 5, ntyp = 4
/
ATOMIC_SPECIES
H 1.01 H.upf
Ge 72.64 Ge.upf
Au 196.97 Au.upf
Sn 118.71 Sn.upf
CELL_PARAMETERS angstrom
3.848 0.000 0.000
0.000 5.406 0.000
0.000 0.000 3.848
ATOMIC_POSITIONS angstrom
H 0.000 0.000 1.924
H 1.924 0.000 0.000
Ge 0.000 2.703 0.000
Au 0.000 0.000 0.000
Sn 1.924 2.703 1.924
```

Output
For the total energy, the calculation gives -3.40 eV per atom. Its density of states at the Fermi level is 0.282 states/eV per atom.


Entry 3:
Material: UBiN
Method: DFT, PBE
State: optimized geometry Values from VASP.

Structure (Quantum ESPRESSO input):
```
&SYSTEM
  ibrav = 0, nat = 6, ntyp = 3
/
ATOMIC_SPECIES
U 238.03 U.upf
Bi 208.98 Bi.upf
N 14.01 N.upf
CELL_PARAMETERS angstrom
-0.036 1.869 -3.253
-3.154 -0.339 2.003
2.451 9.594 5.485
ATOMIC_POSITIONS angstrom
U -0.765 2.346 -0.807
U 0.027 8.778 5.043
Bi 0.447 7.091 1.906
Bi -1.186 4.033 2.330
N 1.186 9.983 3.559
N -1.925 1.141 0.677
```

Output
Its density of states at the Fermi level is 1.919 states/eV per atom. For the polymorph energy (0 for the lowest one), the calculation gives 227 meV per atom. As for the energy relative to the elements, uncorrected: -63 kJ per mole of atoms.


Entry 4:
Material: CrHg3
Method: DFT, PBE
State: optimized geometry Values from VASP.

Structure (Quantum ESPRESSO input):
```
&SYSTEM
  ibrav = 0, nat = 4, ntyp = 2
/
ATOMIC_SPECIES
Cr 52.00 Cr.upf
Hg 200.59 Hg.upf
CELL_PARAMETERS angstrom
-4.216 1.033 0.778
-0.093 -2.887 3.332
1.290 3.169 2.782
ATOMIC_POSITIONS angstrom
Cr 0.000 0.000 0.000
Hg 0.598 0.141 3.057
Hg -1.463 2.101 1.780
Hg -2.155 -0.927 2.055
```

Output
The formation energy from the elements comes out at 0.348 eV/atom. Its density of states at the Fermi level is 0.514 states/eV per atom.


Entry 5:
Material: SrAlSb2
Method: DFT, PBE
State: optimized geometry Values from VASP.

Structure (Quantum ESPRESSO input):
```
&SYSTEM
  ibrav = 0, nat = 4, ntyp = 3
/
ATOMIC_SPECIES
Sb 121.76 Sb.upf
Al 26.98 Al.upf
Sr 87.62 Sr.upf
CELL_PARAMETERS angstrom
-2.548 3.616 -1.669
-4.061 -2.306 1.203
0.106 2.081 4.349
ATOMIC_POSITIONS angstrom
Sb 0.000 0.000 0.000
Sb -1.977 -0.112 2.776
Al -1.221 2.849 1.340
Sr -3.304 0.655 -0.233
```

Output
Its density of states at the Fermi level is 0.441 states/eV per atom. As for the energy relative to the elements, uncorrected: -31 kJ per mole of atoms.


Entry 6:
Material: TmCo7B2
Method: DFT, PBE
State: optimized geometry Values from VASP.

Structure (Quantum ESPRESSO input):
```
&SYSTEM
  ibrav = 0, nat = 10, ntyp = 3
/
ATOMIC_SPECIES
Tm 168.93 Tm.upf
Co 58.93 Co.upf
B 10.81 B.upf
CELL_PARAMETERS angstrom
3.998 0.000 0.000
0.000 5.882 -0.019
0.000 -2.612 5.270
ATOMIC_POSITIONS angstrom
Tm 0.000 0.000 0.000
Co 0.000 3.328 1.571
Co 0.000 -0.058 3.680
Co 1.999 -0.531 1.752
Co 1.999 3.800 3.499
Co 1.999 1.806 0.297
Co 1.999 1.463 4.954
Co 1.999 1.635 2.625
B 1.999 3.349 1.558
B 1.999 -0.079 3.693
```

Output
The formation energy from the elements comes out at 0.097 eV/atom. Its density of states at the Fermi level is 1.298 states/eV per atom.


Entry 7:
Material: MnCoSbP2
Method: DFT, PBE
State: optimized geometry Values from VASP.

Structure (Quantum ESPRESSO input):
```
&SYSTEM
  ibrav = 0, nat = 5, ntyp = 4
/
ATOMIC_SPECIES
Sb 121.76 Sb.upf
Mn 54.94 Mn.upf
Co 58.93 Co.upf
P 30.97 P.upf
CELL_PARAMETERS angstrom
-3.422 2.071 1.415
-1.167 -3.778 2.708
2.286 1.589 3.202
ATOMIC_POSITIONS angstrom
Sb -1.151 -0.059 3.663
Mn 0.000 0.000 0.000
Co -0.583 -1.889 1.354
P 1.143 0.795 1.601
P -1.711 1.036 0.708
```

Output
Its density of states at the Fermi level is 0.965 states/eV per atom. As for the energy relative to the elements, uncorrected: 52 kJ per mole of atoms.


Entry 8:
Material: LuTe
Method: DFT, PBE
State: optimized geometry Values from VASP.

Structure (Quantum ESPRESSO input):
```
&SYSTEM
  ibrav = 0, nat = 2, ntyp = 2
/
ATOMIC_SPECIES
Lu 174.97 Lu.upf
Te 127.60 Te.upf
CELL_PARAMETERS angstrom
-3.457 1.999 -0.454
-0.014 -4.012 0.230
-0.388 0.229 3.963
ATOMIC_POSITIONS angstrom
Lu -1.356 -1.894 1.984
Te 0.000 0.000 0.000
```

Output
Its density of states at the Fermi level is 0.464 states/eV per atom. As for the energy relative to the elements, uncorrected: -109 kJ per mole of atoms.


| no. | V (Å³/f.u.) |
| --- | --- |
| 1 | 147 |
| 2 | 80 |
| 3 | 69 |
| 4 | 86 |
| 5 | 110 |
| 6 | 124 |
| 7 | 86 |
| 8 | 56 |